Entry 1:
Density functional theory data (PBE) for a relaxed structure of LiTa2Te4Br10O.

Cell: 8.198 8.937 9.638 Å, 92.89 90.26 106.67°
Space group P1 (No. 1)
Unique sites:
1 Li 0.000 0.000 0.000 [1 per cell]
2 Ta 0.802 0.595 0.073 [1 per cell]
3 Ta 0.859 0.334 0.359 [1 per cell]
4 Te 0.139 0.878 0.575 [1 per cell]
5 Te 0.230 0.150 0.746 [1 per cell]
6 Te 0.394 0.783 0.698 [1 per cell]
7 Te 0.495 0.056 0.862 [1 per cell]
8 Br 0.045 0.213 0.192 [1 per cell]
9 Br 0.101 0.790 0.113 [1 per cell]
10 Br 0.151 0.529 0.432 [1 per cell]
11 Br 0.503 0.425 0.009 [1 per cell]
12 Br 0.592 0.139 0.274 [1 per cell]
13 Br 0.680 0.750 0.244 [1 per cell]
14 Br 0.714 0.473 0.522 [1 per cell]
15 Br 0.759 0.800 0.878 [1 per cell]
16 Br 0.892 0.146 0.546 [1 per cell]
17 Br 0.920 0.458 0.883 [1 per cell]
18 O 0.840 0.467 0.210 [1 per cell]

Total magnetic moment   1.03 μB per formula unit
Formation energy without anion corrections   -0.870 eV/atom
Excess energy over the best structure of this formula in the dataset   0.014 eV/atom
Final energy   -4.1966 eV per atom
Fermi-level density of states   0.08 states/eV/atom



Entry 2:
Density functional theory data (PBE) for a relaxed structure of Sc3BiC.

Cell: 11.032 12.741 5.913 Å, 90.00 93.32 90.00°
Space group C2/c (No. 15)
Unique sites:
1 Sc 0.107 0.171 0.081 [8 per cell]
2 Sc 0.111 0.309 0.589 [8 per cell]
3 Sc 0.111 0.432 0.093 [8 per cell]
4 Bi 0.162 0.079 0.565 [8 per cell]
5 C 0.000 0.297 0.250 [4 per cell]
6 C 0.000 0.437 0.750 [4 per cell]

Total magnetic moment   0.00 μB per formula unit
Final energy   -6.9647 eV per atom
Fermi-level density of states   0.87 states/eV/atom